Material: SiAg2NCl
Method: DFT, PBE
State: optimized geometry

Lattice parameters (Å, degrees): 5.0201 5.0201 3.4847 90.00 90.00 90.00
With the nearest neighbours (Å) after each atom.
Positions (direct):
Si (0.0000, 0.0000, 0.0000)  2 N 1.74
Ag (0.0000, 0.5000, 0.5000)  2 N 2.51
Ag (0.5000, 0.0000, 0.5000)  2 N 2.51
N (0.0000, 0.0000, 0.5000)  2 Si 1.74
Cl (0.5000, 0.5000, 0.0000)  8 Ag 3.06

Computed properties:
- SG = P4/mmm


Material: AgSn2NCl
Method: DFT, PBE
State: optimized geometry

Lattice parameters (Å, degrees): 4.9641 4.9641 4.1946 90.00 90.00 90.00
With the nearest neighbours (Å) after each atom.
Positions (direct):
Ag (0.0000, 0.0000, 0.0000)  8 Sn 3.25, 4 Cl 3.51
Sn (0.0000, 0.5000, 0.5000)  2 N 2.48
Sn (0.5000, 0.0000, 0.5000)  2 N 2.48
N (0.5000, 0.5000, 0.5000)  2 Cl 2.10
Cl (0.5000, 0.5000, 0.0000)  2 N 2.10

Computed properties:
- SG = P4/mmm


Material: TiAgNCl2
Method: DFT, PBE
State: optimized geometry

Lattice parameters (Å, degrees): 5.0586 5.0586 3.7452 90.00 90.00 90.00
With the nearest neighbours (Å) after each atom.
Positions (direct):
Ti (0.0000, 0.0000, 0.0000)  2 N 1.87
Ag (0.5000, 0.5000, 0.5000)  8 Cl 3.15
N (0.0000, 0.0000, 0.5000)  2 Ti 1.87
Cl (0.0000, 0.5000, 0.0000)  2 Ti 2.53
Cl (0.5000, 0.0000, 0.0000)  2 Ti 2.53

Computed properties:
- SG = P4/mmm


Material: Na6AgCl8
Method: DFT, PBE
State: optimized geometry

Lattice parameters (Å, degrees): 8.0109 8.0109 8.0109 60.00 60.00 60.00
With the nearest neighbours (Å) after each atom.
Positions (direct):
Na (0.0000, 0.0000, 0.5000)  6 Cl 2.83-2.84
Na (0.0000, 0.5000, 0.0000)  6 Cl 2.83-2.84
Na (0.0000, 0.5000, 0.5000)  6 Cl 2.83-2.84
Na (0.5000, 0.0000, 0.0000)  6 Cl 2.83-2.84
Na (0.5000, 0.0000, 0.5000)  6 Cl 2.83-2.84
Na (0.5000, 0.5000, 0.0000)  6 Cl 2.83-2.84
Ag (0.0000, 0.0000, 0.0000)  6 Cl 2.66
Cl (0.2347, 0.2347, 0.7653)  1 Ag 2.66, 4 Na 2.84
Cl (0.2347, 0.7653, 0.2347)  1 Ag 2.66, 4 Na 2.84
Cl (0.2347, 0.7653, 0.7653)  1 Ag 2.66, 4 Na 2.84
Cl (0.2500, 0.2500, 0.2500)  6 Na 2.83
Cl (0.7500, 0.7500, 0.7500)  6 Na 2.83
Cl (0.7653, 0.2347, 0.2347)  1 Ag 2.66, 4 Na 2.84
Cl (0.7653, 0.2347, 0.7653)  1 Ag 2.66, 4 Na 2.84
Cl (0.7653, 0.7653, 0.2347)  1 Ag 2.66, 4 Na 2.84

Computed properties:
- SG = Fm-3m


Material: Na3Ag4Cl8
Method: DFT, PBE
State: optimized geometry

Lattice parameters (Å, degrees): 7.9385 7.9385 7.7992 118.84 118.84 92.98
With the nearest neighbours (Å) after each atom.
Positions (direct):
Na (0.0000, 0.0000, 0.0000)  6 Cl 2.79-2.82
Na (0.0000, 0.5000, 0.0000)  6 Cl 2.73-2.89
Na (0.5000, 0.0000, 0.0000)  6 Cl 2.73-2.89
Ag (0.0000, 0.0000, 0.5000)  4 Cl 2.58-2.61
Ag (0.0000, 0.5000, 0.5000)  6 Cl 2.73-2.88
Ag (0.5000, 0.0000, 0.5000)  6 Cl 2.73-2.88
Ag (0.5000, 0.5000, 0.0000)  6 Cl 2.69-2.94
Cl (0.2363, 0.2363, 0.9630)  2 Ag 2.58-2.69, 1 Na 2.79
Cl (0.2414, 0.2414, 0.5061)  4 Ag 2.61-2.88, 1 Na 2.82
Cl (0.2449, 0.7551, 0.0000)  3 Na 2.73-2.82, 3 Ag 2.78-2.94
Cl (0.2566, 0.7434, 0.5000)  3 Ag 2.73-2.95, 2 Na 2.78
Cl (0.7434, 0.2566, 0.5000)  3 Ag 2.73-2.95, 2 Na 2.78
Cl (0.7551, 0.2449, 0.0000)  3 Na 2.73-2.82, 3 Ag 2.78-2.94
Cl (0.7586, 0.7586, 0.4939)  4 Ag 2.61-2.88, 1 Na 2.82
Cl (0.7637, 0.7637, 0.0370)  2 Ag 2.58-2.69, 1 Na 2.79

Computed properties:
- SG = C2/m


Material: Na3Ag3Cl8
Method: DFT, PBE
State: optimized geometry

Lattice parameters (Å, degrees): 8.0651 8.0651 8.0651 58.41 58.41 58.41
With the nearest neighbours (Å) after each atom.
Positions (direct):
Na (0.0000, 0.5000, 0.5000)  6 Cl 2.69-2.86
Na (0.5000, 0.0000, 0.5000)  6 Cl 2.69-2.86
Na (0.5000, 0.5000, 0.0000)  6 Cl 2.69-2.86
Ag (0.1350, 0.1350, 0.1350)  4 Cl 2.53-2.56
Ag (0.5000, 0.5000, 0.5000)  6 Cl 2.62
Ag (0.8650, 0.8650, 0.8650)  4 Cl 2.53-2.56
Cl (0.2615, 0.2615, 0.2615)  1 Ag 2.53, 3 Na 2.69
Cl (0.2620, 0.7322, 0.7322)  2 Ag 2.56-2.62, 2 Na 2.86
Cl (0.2678, 0.2678, 0.7380)  2 Ag 2.56-2.62, 2 Na 2.86
Cl (0.2678, 0.7380, 0.2678)  2 Ag 2.56-2.62, 2 Na 2.86
Cl (0.7322, 0.2620, 0.7322)  2 Ag 2.56-2.62, 2 Na 2.86
Cl (0.7322, 0.7322, 0.2620)  2 Ag 2.56-2.62, 2 Na 2.86
Cl (0.7380, 0.2678, 0.2678)  2 Ag 2.56-2.62, 2 Na 2.86
Cl (0.7385, 0.7385, 0.7385)  1 Ag 2.53, 3 Na 2.69

Computed properties:
- SG = R-3m


Material: Na2Ag4Cl9
Method: DFT, PBE
State: optimized geometry

Lattice parameters (Å, degrees): 6.7456 6.8513 18.8334 96.49 90.06 119.45
With the nearest neighbours (Å) after each atom.
Positions (direct):
Na (0.0104, 0.4944, 0.1506)  5 Cl 2.73-2.91
Na (0.0164, 0.5077, 0.3490)  5 Cl 2.73-2.92
Na (0.9836, 0.4923, 0.6510)  5 Cl 2.73-2.92
Na (0.9896, 0.5056, 0.8494)  5 Cl 2.73-2.91
Ag (0.3305, 0.1658, 0.5093)  4 Cl 2.49-2.56
Ag (0.3353, 0.1660, 0.0094)  4 Cl 2.49-2.56
Ag (0.3445, 0.1885, 0.3166)  5 Cl 2.54-2.73
Ag (0.3436, 0.1878, 0.8165)  5 Cl 2.54-2.73
Ag (0.6564, 0.8122, 0.1835)  5 Cl 2.54-2.73
Ag (0.6555, 0.8115, 0.6834)  5 Cl 2.54-2.73
Ag (0.6647, 0.8340, 0.9906)  4 Cl 2.49-2.56
Ag (0.6695, 0.8342, 0.4907)  4 Cl 2.49-2.56
Cl (0.0052, 0.8911, 0.9191)  2 Ag 2.55-2.56, 1 Na 2.77
Cl (0.0092, 0.8446, 0.2466)  2 Ag 2.54-2.56, 1 Na 2.84
Cl (0.0586, 0.1729, 0.4209)  2 Ag 2.50-2.73
Cl (0.3089, 0.5003, 0.2500)  2 Ag 2.70, 2 Na 2.73
Cl (0.3353, 0.8442, 0.7465)  2 Ag 2.54-2.56, 1 Na 2.84
Cl (0.3587, 0.4828, 0.5954)  2 Ag 2.49-2.56, 1 Na 2.77
Cl (0.3760, 0.5167, 0.9046)  2 Ag 2.49-2.56, 1 Na 2.77
Cl (0.3865, 0.8281, 0.0791)  2 Ag 2.50-2.73
Cl (0.3868, 0.8923, 0.4190)  2 Ag 2.55-2.56, 1 Na 2.77
Cl (0.6132, 0.1077, 0.5810)  2 Ag 2.55-2.56, 1 Na 2.77
Cl (0.6135, 0.1719, 0.9209)  2 Ag 2.50-2.73
Cl (0.6240, 0.4833, 0.0954)  2 Ag 2.49-2.56, 1 Na 2.77
Cl (0.6413, 0.5172, 0.4046)  2 Ag 2.49-2.56, 1 Na 2.77
Cl (0.6647, 0.1558, 0.2535)  2 Ag 2.54-2.56, 1 Na 2.84
Cl (0.6911, 0.4997, 0.7500)  2 Ag 2.70, 2 Na 2.73
Cl (0.9414, 0.8271, 0.5791)  2 Ag 2.50-2.73
Cl (0.9908, 0.1554, 0.7534)  2 Ag 2.54-2.56, 1 Na 2.84
Cl (0.9948, 0.1089, 0.0809)  2 Ag 2.55-2.56, 1 Na 2.77

Computed properties:
- SG = P-1


Material: NaAg2Cl8
Method: DFT, PBE
State: optimized geometry

Lattice parameters (Å, degrees): 7.9998 7.9998 7.9998 127.49 127.49 77.45
With the nearest neighbours (Å) after each atom.
Positions (direct):
Na (0.0000, 0.0000, 0.0000)  8 Cl 3.05
Ag (0.2500, 0.7500, 0.5000)  4 Cl 2.33
Ag (0.7500, 0.2500, 0.5000)  4 Cl 2.33
Cl (0.0492, 0.5452, 0.8355)  1 Ag 2.33
Cl (0.2137, 0.0492, 0.5041)  1 Ag 2.33
Cl (0.2903, 0.4548, 0.5041)  1 Ag 2.33
Cl (0.4548, 0.9508, 0.1645)  1 Ag 2.33
Cl (0.5452, 0.7097, 0.4959)  1 Ag 2.33
Cl (0.7097, 0.2137, 0.1645)  1 Ag 2.33
Cl (0.7863, 0.2903, 0.8355)  1 Ag 2.33
Cl (0.9508, 0.7863, 0.4959)  1 Ag 2.33

Computed properties:
- SG = I422


Q: Which raw formation energy values were calculated for the entries above? A: 1.6; 2.9; -2.3; -22.5; -14.4; -13.3; -10.8; -4.2, in eV/f.u..
Q: Which magnetic moment values were calculated for the entries above? A: 0.0; 0.0; 0.0; 1.1; 0.6; 0.0; 0.0; 0.9, in μB per cell.